# 1
PBE-GGA Sr2DySnO6, optimized geometry; uncorrected formation energy = -2511 meV per atom; space-group type = P2_1/c; DOS(E_F) = 8.946 states/eV/f.u.
1.0
5.913 0.000 0.000
0.000 6.020 0.000
-5.893 0.000 8.406
Sr Dy Sn O
4 2 2 12
Direct
0.239 0.042 0.250 Sr
0.239 0.458 0.750 Sr
0.761 0.542 0.250 Sr
0.761 0.958 0.750 Sr
0.500 0.000 0.000 Dy
0.500 0.500 0.500 Dy
0.000 0.000 0.500 Sn
0.000 0.500 0.000 Sn
0.150 0.221 0.951 O
0.150 0.279 0.451 O
0.236 0.703 0.955 O
0.236 0.797 0.455 O
0.329 0.031 0.740 O
0.329 0.469 0.240 O
0.671 0.531 0.760 O
0.671 0.969 0.260 O
0.764 0.203 0.545 O
0.764 0.297 0.045 O
0.850 0.721 0.549 O
0.850 0.779 0.049 O


# 2
PBE-GGA Pm5Y12Th2, optimized geometry; formation energy from the elements = 0.0246 eV/atom; relative energy among the computed polymorphs = 0.0000 eV/atom; space-group type = P-1; DOS(E_F) = 27.796 states/eV/f.u.
1.0
6.249 0.000 0.000
3.118 8.959 0.000
2.112 0.690 11.157
Pm Y Th
5 12 2
Direct
0.000 0.000 0.000 Pm
0.211 0.423 0.732 Pm
0.474 0.949 0.157 Pm
0.526 0.051 0.843 Pm
0.789 0.577 0.268 Pm
0.050 0.107 0.683 Y
0.106 0.214 0.371 Y
0.158 0.316 0.052 Y
0.316 0.631 0.107 Y
0.370 0.735 0.789 Y
0.421 0.837 0.475 Y
0.579 0.163 0.525 Y
0.630 0.265 0.211 Y
0.684 0.369 0.893 Y
0.842 0.684 0.948 Y
0.894 0.786 0.629 Y
0.950 0.893 0.317 Y
0.262 0.526 0.423 Th
0.738 0.474 0.577 Th


# 3
PBE-GGA ZrTaMn2, optimized geometry; formation energy from the elements = -0.1320 eV/atom; space-group type = P4/mmm; DOS(E_F) = 3.103 states/eV/f.u.
1.0
3.116 0.000 0.000
0.000 3.116 0.000
0.000 0.000 6.288
Zr Ta Mn
1 1 2
Direct
0.000 0.000 0.000 Zr
0.000 0.000 0.500 Ta
0.500 0.500 0.264 Mn
0.500 0.500 0.736 Mn


# 4
PBE-GGA SrOs2, optimized geometry; formation energy from the elements = 0.5933 eV/atom; space-group type = Cmcm; DOS(E_F) = 3.943 states/eV/f.u.
1.0
1.439 -11.153 0.000
1.439 11.153 0.000
0.000 0.000 4.280
Sr Os
2 4
Direct
0.170 0.830 0.750 Sr
0.830 0.170 0.250 Sr
0.065 0.935 0.250 Os
0.464 0.536 0.250 Os
0.536 0.464 0.750 Os
0.935 0.065 0.750 Os


# 5
PBE-GGA CaPmAu6, optimized geometry; formation energy from the elements = -0.5967 eV/atom; space-group type = Amm2; DOS(E_F) = 2.736 states/eV/f.u.
1.0
4.802 0.000 0.000
0.000 3.203 5.534
0.000 -3.203 5.534
Ca Pm Au
1 1 6
Direct
0.000 0.000 0.000 Ca
0.500 0.668 0.668 Pm
0.000 0.020 0.490 Au
0.000 0.490 0.020 Au
0.000 0.491 0.491 Au
0.500 0.175 0.175 Au
0.500 0.176 0.651 Au
0.500 0.651 0.176 Au


# 6
PBE-GGA TbHg2Au, optimized geometry; formation energy from the elements = 0.1485 eV/atom; relative energy among the computed polymorphs = 0.6068 eV/atom; space-group type = R-3m; DOS(E_F) = 2.479 states/eV/f.u.
1.0
1.714 0.989 10.444
-1.714 0.989 10.444
0.000 -1.979 10.444
Tb Hg Au
1 2 1
Direct
0.000 0.000 0.000 Tb
0.096 0.096 0.096 Hg
0.904 0.904 0.904 Hg
0.500 0.500 0.500 Au


# 7
PBE-GGA KMgCr2, optimized geometry; formation energy from the elements = 1.3320 eV/atom; space-group type = I4_1/amd; DOS(E_F) = 2.078 states/eV/f.u.
1.0
-2.463 2.463 10.176
2.463 -2.463 10.176
2.463 2.463 -10.176
K Mg Cr
2 2 4
Direct
0.375 0.625 0.750 K
0.625 0.375 0.250 K
0.125 0.875 0.250 Mg
0.875 0.125 0.750 Mg
0.000 0.000 0.000 Cr
0.000 0.000 0.500 Cr
0.000 0.500 0.000 Cr
0.500 0.000 0.500 Cr


# 8
PBE-GGA CaMg2CuAu4, optimized geometry; formation energy from the elements = -0.4932 eV/atom; space-group type = R-3m; DOS(E_F) = 2.663 states/eV/f.u.
1.0
2.277 1.315 8.774
-2.277 1.315 8.774
0.000 -2.630 8.774
Ca Mg Cu Au
1 2 1 4
Direct
0.000 0.000 0.000 Ca
0.237 0.237 0.237 Mg
0.763 0.763 0.763 Mg
0.500 0.500 0.500 Cu
0.130 0.130 0.130 Au
0.398 0.398 0.398 Au
0.602 0.602 0.602 Au
0.870 0.870 0.870 Au


# 9
PBE-GGA Ca2Ac2La, optimized geometry; formation energy from the elements = 0.3292 eV/atom; space-group type = I4/mmm; DOS(E_F) = 8.639 states/eV/f.u.
1.0
-2.421 2.421 9.479
2.421 -2.421 9.479
2.421 2.421 -9.479
Ca Ac La
2 2 1
Direct
0.250 0.750 0.500 Ca
0.750 0.250 0.500 Ca
0.092 0.092 0.000 Ac
0.908 0.908 0.000 Ac
0.500 0.500 0.000 La


# 10
PBE-GGA Li3Cd4Au4, optimized geometry; formation energy from the elements = -0.3185 eV/atom; relative energy among the computed polymorphs = 0.0314 eV/atom; space-group type = P-1; DOS(E_F) = 3.074 states/eV/f.u.
1.0
2.975 0.000 0.000
0.011 7.537 0.000
0.011 1.347 9.307
Li Cd Au
3 4 4
Direct
0.000 0.000 0.000 Li
0.001 0.337 0.382 Li
0.999 0.663 0.618 Li
0.000 0.389 0.879 Cd
0.000 0.611 0.121 Cd
0.002 0.027 0.665 Cd
0.998 0.973 0.335 Cd
0.499 0.243 0.141 Au
0.499 0.641 0.379 Au
0.501 0.359 0.621 Au
0.501 0.757 0.859 Au


# 11
PBE-GGA CaSiPbS4, optimized geometry; uncorrected formation energy = -1044 meV per atom; space-group type = P2_1/m; DOS(E_F) = 0.000 states/eV/f.u.
1.0
6.621 0.000 0.000
0.000 6.588 0.000
-2.434 0.000 7.650
Ca Si Pb S
2 2 2 8
Direct
0.239 0.250 0.057 Ca
0.761 0.750 0.943 Ca
0.232 0.750 0.808 Si
0.768 0.250 0.192 Si
0.244 0.250 0.569 Pb
0.756 0.750 0.431 Pb
0.012 0.501 0.754 S
0.012 0.999 0.754 S
0.407 0.750 0.076 S
0.417 0.750 0.635 S
0.583 0.250 0.365 S
0.593 0.250 0.924 S
0.988 0.001 0.246 S
0.988 0.499 0.246 S


# 12
PBE-GGA SrUS3, optimized geometry; uncorrected formation energy = -1493 meV per atom; relative energy among the computed polymorphs = 0.2029 eV/atom; space-group type = Pm-3m; DOS(E_F) = 6.715 states/eV/f.u.
1.0
5.214 0.000 0.000
0.000 5.214 0.000
0.000 0.000 5.214
Sr U S
1 1 3
Direct
0.000 0.000 0.000 Sr
0.500 0.500 0.500 U
0.000 0.500 0.500 S
0.500 0.000 0.500 S
0.500 0.500 0.000 S


# 13
PBE-GGA ScGaAg, optimized geometry; formation energy from the elements = -0.3546 eV/atom; space-group type = Cmcm; DOS(E_F) = 1.695 states/eV/f.u.
1.0
2.092 -6.100 0.000
2.092 6.100 0.000
0.000 0.000 4.348
Sc Ga Ag
2 2 2
Direct
0.089 0.911 0.750 Sc
0.911 0.089 0.250 Sc
0.415 0.585 0.750 Ga
0.585 0.415 0.250 Ga
0.245 0.755 0.250 Ag
0.755 0.245 0.750 Ag


# 14
PBE-GGA Hf2UTa, optimized geometry; formation energy from the elements = 0.2775 eV/atom; space-group type = Fm-3m; DOS(E_F) = 6.245 states/eV/f.u.
1.0
0.000 3.463 3.463
3.463 0.000 3.463
3.463 3.463 0.000
Hf U Ta
2 1 1
Direct
0.250 0.250 0.250 Hf
0.750 0.750 0.750 Hf
0.000 0.000 0.000 U
0.500 0.500 0.500 Ta


# 15
PBE-GGA AlPPb2, optimized geometry; formation energy from the elements = 0.2766 eV/atom; relative energy among the computed polymorphs = 0.2814 eV/atom; space-group type = C2/m; DOS(E_F) = 1.930 states/eV/f.u.
1.0
3.465 -2.032 0.000
3.465 2.032 0.000
-2.397 0.000 7.398
Al P Pb
1 1 2
Direct
0.000 0.000 0.000 Al
0.500 0.500 0.500 P
0.244 0.244 0.728 Pb
0.756 0.756 0.272 Pb


# 16
PBE-GGA Li2LaIr, optimized geometry; formation energy from the elements = -0.2080 eV/atom; relative energy among the computed polymorphs = 0.1306 eV/atom; space-group type = I-4m2; DOS(E_F) = 0.314 states/eV/f.u.
1.0
-2.416 2.416 3.424
2.416 -2.416 3.424
2.416 2.416 -3.424
Li La Ir
2 1 1
Direct
0.000 0.000 0.000 Li
0.750 0.250 0.500 Li
0.500 0.500 0.000 La
0.250 0.750 0.500 Ir


# 17
PBE-GGA TaTl2Cl, optimized geometry; uncorrected formation energy = 279 meV per atom; relative energy among the computed polymorphs = 0.3732 eV/atom; space-group type = P4/mmm; DOS(E_F) = 3.271 states/eV/f.u.
1.0
5.441 0.000 0.000
0.000 5.441 0.000
0.000 0.000 3.089
Ta Tl Cl
1 2 1
Direct
0.000 0.000 0.000 Ta
0.000 0.500 0.500 Tl
0.500 0.000 0.500 Tl
0.500 0.500 0.000 Cl


# 18
PBE-GGA NaCa3La2Se6, optimized geometry; uncorrected formation energy = -1910 meV per atom; space-group type = C2/m; DOS(E_F) = 3.962 states/eV/f.u.
1.0
3.694 -6.393 0.000
3.694 6.393 0.000
-2.463 0.000 6.964
Na Ca La Se
1 3 2 6
Direct
0.000 0.000 0.000 Na
0.165 0.835 0.500 Ca
0.500 0.500 0.500 Ca
0.835 0.165 0.500 Ca
0.333 0.667 0.000 La
0.667 0.333 0.000 La
0.086 0.422 0.256 Se
0.251 0.251 0.744 Se
0.422 0.086 0.256 Se
0.578 0.914 0.744 Se
0.749 0.749 0.256 Se
0.914 0.578 0.744 Se


# 19
PBE-GGA ErMgSnHg, optimized geometry; formation energy from the elements = -0.3634 eV/atom; relative energy among the computed polymorphs = 0.0872 eV/atom; space-group type = F-43m; DOS(E_F) = 2.410 states/eV/f.u.
1.0
0.000 3.642 3.642
3.642 0.000 3.642
3.642 3.642 0.000
Er Mg Sn Hg
1 1 1 1
Direct
0.000 0.000 0.000 Er
0.500 0.500 0.500 Mg
0.750 0.750 0.750 Sn
0.250 0.250 0.250 Hg


# 20
PBE-GGA Na4CrIn3Se8, optimized geometry; uncorrected formation energy = -789 meV per atom; space-group type = R-3m
1.0
3.977 2.296 6.994
-3.977 2.296 6.994
0.000 -4.593 6.994
Na Cr In Se
4 1 3 8
Direct
0.000 0.000 0.000 Na
0.000 0.500 0.500 Na
0.500 0.000 0.500 Na
0.500 0.500 0.000 Na
0.500 0.500 0.500 Cr
0.000 0.000 0.500 In
0.000 0.500 0.000 In
0.500 0.000 0.000 In
0.241 0.241 0.241 Se
0.256 0.728 0.728 Se
0.272 0.272 0.744 Se
0.272 0.744 0.272 Se
0.728 0.256 0.728 Se
0.728 0.728 0.256 Se
0.744 0.272 0.272 Se
0.759 0.759 0.759 Se


Number 1: V 14.961 A^3/atom. Number 2: V 32.873 A^3/atom. Number 3: V 15.266 A^3/atom. Number 4: V 22.906 A^3/atom. Number 5: V 21.277 A^3/atom. Number 6: V 26.564 A^3/atom. Number 7: V 30.873 A^3/atom. Number 8: V 19.707 A^3/atom. Number 9: V 44.453 A^3/atom. Number 10: V 18.975 A^3/atom. Number 11: V 23.833 A^3/atom. Number 12: V 28.346 A^3/atom. Number 13: V 18.497 A^3/atom. Number 14: V 20.768 A^3/atom. Number 15: V 26.037 A^3/atom. Number 16: V 19.988 A^3/atom. Number 17: V 22.858 A^3/atom. Number 18: V 27.411 A^3/atom. Number 19: V 24.152 A^3/atom. Number 20: V 23.957 A^3/atom.